[1]
The following is a PBE-GGA calculation of crystalline SrNdTlPd at its relaxed geometry, from the Alexandria database.

Geometry as CIF:
```
data_SrNdTlPd
_chemical_formula_sum 'Sr4 Nd4 Tl4 Pd4'
_cell_length_a 7.6684
_cell_length_b 7.6684
_cell_length_c 7.6684
_cell_angle_alpha 90.00
_cell_angle_beta 90.00
_cell_angle_gamma 90.00
_space_group_name_H-M_alt 'F -4 3 m'
_space_group_IT_number 216
_space_group_name_Hall 'F -4 2 3'
loop_
_atom_site_label
_atom_site_fract_x
_atom_site_fract_y
_atom_site_fract_z
_atom_site_occupancy
Sr1 0.0000 0.0000 0.0000 1
Nd1 0.0000 0.0000 0.5000 1
Tl1 0.2500 0.2500 0.7500 1
Pd1 0.2500 0.2500 0.2500 1
```

[2]
The following is a PBE-GGA calculation of crystalline NdTaPd at its relaxed geometry, from the Alexandria database.

Geometry as CIF:
```
data_NdTaPd
_chemical_formula_sum 'Nd4 Ta4 Pd4'
_cell_length_a 4.7677
_cell_length_b 4.7763
_cell_length_c 11.4458
_cell_angle_alpha 90.00
_cell_angle_beta 90.00
_cell_angle_gamma 90.00
_space_group_name_H-M_alt 'C m m m'
_space_group_IT_number 65
_space_group_name_Hall '-C 2 2'
loop_
_atom_site_label
_atom_site_fract_x
_atom_site_fract_y
_atom_site_fract_z
_atom_site_occupancy
Nd1 0.0000 0.0000 0.1741 1
Ta1 0.0000 0.5000 0.3716 1
Pd1 0.0000 0.0000 0.5000 1
Pd2 0.0000 0.5000 0.0000 1
```

[3]
# TbNdPd PBE-GGA optimized geometry
# **Polymorph energy (0 for the lowest one)**: 0.000 eV per formula unit
data_TbNdPd
_chemical_formula_sum 'Tb2 Nd2 Pd2'
_cell_length_a 3.6106
_cell_length_b 3.6106
_cell_length_c 12.4693
_cell_angle_alpha 90.00
_cell_angle_beta 90.00
_cell_angle_gamma 90.00
_space_group_name_H-M_alt 'I 4 m m'
_space_group_IT_number 107
_space_group_name_Hall 'I 4 -2'
loop_
_atom_site_label
_atom_site_fract_x
_atom_site_fract_y
_atom_site_fract_z
_atom_site_occupancy
Tb1 0.0000 0.0000 0.0000 1
Nd1 0.0000 0.0000 0.7248 1
Pd1 0.0000 0.0000 0.3770 1

[4]
The following is a PBE-GGA calculation of crystalline Tb5Nd2Pd4 at its relaxed geometry, from the Alexandria database.

Geometry as CIF:
```
data_Tb5Nd2Pd4
_chemical_formula_sum 'Tb10 Nd4 Pd8'
_cell_length_a 24.9554
_cell_length_b 3.6402
_cell_length_c 6.8462
_cell_angle_alpha 90.00
_cell_angle_beta 93.56
_cell_angle_gamma 90.00
_space_group_name_H-M_alt 'C 1 2/m 1'
_space_group_IT_number 12
loop_
_space_group_symop_operation_xyz
'x,y,z'
'-x,-y,-z'
'-x,y,-z'
'x,-y,z'
'x+1/2,y+1/2,z'
'-x+1/2,-y+1/2,-z'
'-x+1/2,y+1/2,-z'
'x+1/2,-y+1/2,z'
loop_
_atom_site_label
_atom_site_fract_x
_atom_site_fract_y
_atom_site_fract_z
_atom_site_occupancy
Tb1 0.0000 0.0000 0.0000 1
Tb2 0.1333 0.5000 0.1860 1
Tb3 0.2363 0.5000 0.7506 1
Nd1 0.0929 0.5000 0.6766 1
Pd1 0.0258 0.5000 0.3133 1
Pd2 0.1733 0.0000 0.4915 1
```

Going through the records in order, we get energy relative to the elements values of -417 -44 -496 -384 meV per atom.